No. 1
TaHg2Sb (PBE, optimized geometry); SG = I-42d, No. 122; formation energy (no corrections) = 57 kJ/mol of atoms
1.0
8.1792 0.0000 0.0000
0.0000 8.1792 0.0000
4.0896 4.0896 2.8334
Sb Hg Ta
2 4 2
Direct
0.5000 0.5000 0.0000 Sb
0.2500 0.7500 0.5000 Sb
0.6468 0.1250 0.2500 Hg
0.1032 0.6250 0.2500 Hg
0.3750 0.3532 0.7500 Hg
0.8750 0.8968 0.7500 Hg
0.0000 0.0000 0.0000 Ta
0.7500 0.2500 0.5000 Ta

=====

No. 2
HfMg3 (PBE, optimized geometry); SG = Fm-3m, No. 225; E_form = 0.194 eV per atom
1.0
4.9811 0.0000 0.0000
2.4905 4.3137 0.0000
2.4905 1.4379 4.0670
Mg Hf
3 1
Direct
0.7500 0.7500 0.7500 Mg
0.5000 0.5000 0.5000 Mg
0.2500 0.2500 0.2500 Mg
0.0000 0.0000 0.0000 Hf

=====

No. 3
Th4CoAu2 (PBE, optimized geometry); SG = P2/m, No. 10; E_form = -0.284 eV per atom
1.0
-1.0311 1.9329 3.1090
-6.4278 0.9104 -2.6979
-0.0842 -6.5792 4.0624
Th Co Au
4 1 2
Direct
0.5000 0.1712 0.8741 Th
0.0000 0.4815 0.2863 Th
0.5000 0.9716 0.2688 Th
0.0000 0.6613 0.8567 Th
0.0000 0.0714 0.0714 Co
0.5000 0.3657 0.5721 Au
0.5000 0.7771 0.5709 Au

=====

Results for electronic total energy: -3.5587 -3.4904 -6.4755 (in eV/atom, following the order of the records).